DFT (PBE) results for SrBe2Hg after structural relaxation.

Total magnetization: 0.00 Bohr magnetons per cell
E_tot: -1.99 eV per atom
Space group: Pmm2 (25)

Cell: 3.2859 3.0905 7.4797 Å, 90.00 90.00 90.00°
Atoms (fractional coordinates):
Sr 0.5000 0.5000 0.7777
Be 0.0000 0.0000 0.0896
Be 0.5000 0.5000 0.1943
Hg 0.0000 0.0000 0.4385



DFT (PBE) results for SrBe2Hg after structural relaxation.

Total magnetization: 0.00 Bohr magnetons per cell
E_tot: -2.02 eV per atom
Space group: Imm2 (44)

Cell: 5.1603 5.1603 5.1603 Å, 132.53 115.09 84.26°
Atoms (fractional coordinates):
Be 0.1116 0.1116 0.0000
Be 0.1694 0.6694 0.5000
Hg 0.4491 0.4491 0.0000
Sr 0.7698 0.2698 0.5000



DFT (PBE) results for SrBe2Hg after structural relaxation.

Total magnetization: 0.00 Bohr magnetons per cell
E_tot: -2.27 eV per atom
Space group: Cm (8)

Cell: 4.1611 4.1611 6.1612 Å, 69.77 69.77 60.08°
Atoms (fractional coordinates):
Be 0.0637 0.0637 0.8063
Be 0.7422 0.7422 0.7717
Hg 0.4409 0.4409 0.6761
Sr 0.2532 0.2532 0.2459



DFT (PBE) results for SrBe2Hg after structural relaxation.

Total magnetization: 0.00 Bohr magnetons per cell
E_tot: -2.19 eV per atom
Space group: Pmmm (47)

Cell: 4.3360 5.0069 4.3161 Å, 90.00 90.00 90.00°
Atoms (fractional coordinates):
Hg 0.5000 0.2500 0.2500
Be 0.0000 0.2500 0.0006
Be 0.0000 0.2500 0.4994
Sr 0.5000 0.7500 0.7500



DFT (PBE) results for Sr2BeHg after structural relaxation.

Total magnetization: 0.00 Bohr magnetons per cell
Relative energy among the computed polymorphs: 69.3 meV/atom
Space group: P2/m (10)

Cell: 3.8565 3.8722 8.7880 Å, 63.93 90.00 90.00°
Atoms (fractional coordinates):
Sr 0.0000 0.9854 0.0150
Sr 0.0000 0.5146 0.4850
Be 0.5000 0.2500 0.2500
Hg 0.5000 0.7500 0.7500



DFT (PBE) results for SrBeHg3 after structural relaxation.

Total magnetization: 0.00 Bohr magnetons per cell
Relative energy among the computed polymorphs: 0.0 meV/atom
Space group: Pm-3m (221)

Cell: 4.9547 4.9547 4.9547 Å, 90.00 90.00 90.00°
Atoms (fractional coordinates):
Hg 0.0000 0.0000 0.5000
Hg 0.5000 0.0000 0.0000
Hg 0.0000 0.5000 0.0000
Sr 0.5000 0.5000 0.5000
Be 0.0000 0.0000 0.0000



DFT (PBE) results for Sr2BeHg after structural relaxation.

Total magnetization: 0.00 Bohr magnetons per cell
Relative energy among the computed polymorphs: 273.8 meV/atom
Space group: F-43m (216)

Cell: 5.2709 5.2709 5.2709 Å, 60.00 60.00 60.00°
Atoms (fractional coordinates):
Hg 0.7500 0.7500 0.7500
Sr 0.0000 0.0000 0.0000
Sr 0.2500 0.2500 0.2500
Be 0.5000 0.5000 0.5000



DFT (PBE) results for SrBe2Hg after structural relaxation.

Total magnetization: 0.00 Bohr magnetons per cell
E_tot: -1.89 eV per atom
Space group: Cmmm (65)

Cell: 3.5153 3.5153 6.8382 Å, 90.00 90.00 99.17°
Atoms (fractional coordinates):
Hg 0.5000 0.5000 0.2500
Be 0.0000 0.0000 0.4141
Be 0.0000 0.0000 0.0859
Sr 0.5000 0.5000 0.7500



DFT (PBE) results for SrBeHgTe2 after structural relaxation.

Total magnetization: 0.00 Bohr magnetons per cell
Raw formation energy: -0.483 eV/atom
Space group: P4/mmm (123)

Cell: 5.4394 4.7331 5.4394 Å, 90.00 90.00 90.00°
Atoms (fractional coordinates):
Te 0.5000 0.0000 0.0000
Te 0.0000 0.0000 0.5000
Be 0.0000 0.0000 0.0000
Sr 0.5000 0.5000 0.5000
Hg 0.0000 0.5000 0.0000



DFT (PBE) results for SrBeV2Hg after structural relaxation.

Total magnetization: 7.62 Bohr magnetons per cell
E_tot: -3.77 eV per atom
Space group: P4/mmm (123)

Cell: 5.2797 4.5150 5.2797 Å, 90.00 90.00 90.00°
Last column: magnetic moment on the atom in μB.
Atoms (fractional coordinates):
Sr 0.5000 0.5000 0.5000  0.14
V 0.0000 0.0000 0.5000  3.06
V 0.5000 0.0000 0.0000  2.63
Hg 0.0000 0.0000 0.0000  0.08
Be 0.0000 0.5000 0.0000  -0.07



DFT (PBE) results for Ta2BeHg after structural relaxation.

Total magnetization: 0.00 Bohr magnetons per cell
Relative energy among the computed polymorphs: 277.6 meV/atom
Space group: I-4m2 (119)

Cell: 5.1933 5.1933 5.1933 Å, 135.44 135.44 64.85°
Atoms (fractional coordinates):
Ta 0.0000 0.0000 0.0000
Ta 0.2500 0.7500 0.5000
Be 0.5000 0.5000 0.0000
Hg 0.7500 0.2500 0.5000



DFT (PBE) results for TaBeHg after structural relaxation.

Total magnetization: 0.00 Bohr magnetons per cell
Relative energy among the computed polymorphs: 246.8 meV/atom
Space group: P3m1 (156)

Cell: 2.9470 2.9470 6.7129 Å, 90.00 90.00 120.00°
Atoms (fractional coordinates):
Be 0.0000 0.0000 0.9979
Ta 0.3333 0.6667 0.6914
Hg 0.6667 0.3333 0.3107



DFT (PBE) results for Ta2BeHg after structural relaxation.

Total magnetization: 0.00 Bohr magnetons per cell
Relative energy among the computed polymorphs: 421.8 meV/atom
Space group: Fm-3m (225)

Cell: 4.5663 4.5663 4.5663 Å, 60.00 60.00 60.00°
Atoms (fractional coordinates):
Be 0.0000 0.0000 0.0000
Ta 0.2500 0.2500 0.2500
Ta 0.7500 0.7500 0.7500
Hg 0.5000 0.5000 0.5000



DFT (PBE) results for Ta2BeHg after structural relaxation.

Total magnetization: 0.00 Bohr magnetons per cell
Relative energy among the computed polymorphs: 140.0 meV/atom
Space group: I4/mmm (139)

Cell: 5.1140 5.1140 5.1140 Å, 134.62 134.62 66.12°
Atoms (fractional coordinates):
Ta 0.0000 0.0000 0.0000
Ta 0.5000 0.5000 0.0000
Be 0.2500 0.7500 0.5000
Hg 0.7500 0.2500 0.5000



DFT (PBE) results for TaBeHg after structural relaxation.

Total magnetization: 0.00 Bohr magnetons per cell
Relative energy among the computed polymorphs: 122.8 meV/atom
Space group: P-6m2 (187)

Cell: 4.2287 4.2287 3.0913 Å, 90.00 90.00 120.00°
Atoms (fractional coordinates):
Be 0.0000 0.0000 0.1669
Hg 0.6667 0.3333 0.1664
Ta 0.3333 0.6667 0.6666



DFT (PBE) results for TaBeHg2 after structural relaxation.

Total magnetization: 0.01 Bohr magnetons per cell
E_tot: -3.30 eV per atom
Space group: I-4m2 (119)

Cell: 5.1898 5.1898 5.1898 Å, 133.34 133.34 68.12°
Atoms (fractional coordinates):
Ta 0.5000 0.5000 0.0000
Be 0.7500 0.2500 0.5000
Hg 0.2500 0.7500 0.5000
Hg 0.0000 0.0000 0.0000



DFT (PBE) results for Ta2BeHg after structural relaxation.

Total magnetization: 0.00 Bohr magnetons per cell
Relative energy among the computed polymorphs: 175.2 meV/atom
Space group: Cm (8)

Cell: 5.4058 5.4058 4.8047 Å, 63.98 63.98 31.85°
Atoms (fractional coordinates):
Ta 0.9994 0.9994 0.0013
Ta 0.7796 0.7796 0.7168
Hg 0.2154 0.2154 0.2807
Be 0.5054 0.5054 0.5012



DFT (PBE) results for TaBeHg2 after structural relaxation.

Total magnetization: 0.00 Bohr magnetons per cell
E_tot: -3.52 eV per atom
Space group: R-3m (166)

Cell: 9.1314 9.1314 9.1314 Å, 19.09 19.09 19.09°
Atoms (fractional coordinates):
Ta 0.2500 0.2500 0.2500
Hg 0.0105 0.0105 0.0105
Hg 0.4895 0.4895 0.4895
Be 0.7500 0.7500 0.7500



DFT (PBE) results for Ta2BeHg after structural relaxation.

Total magnetization: 0.00 Bohr magnetons per cell
Relative energy among the computed polymorphs: 0.0 meV/atom
Space group: P4/mmm (123)

Cell: 2.8562 2.8562 7.9946 Å, 90.00 90.00 90.07°
Atoms (fractional coordinates):
Ta 0.0000 0.0000 0.4584
Ta 0.0000 0.0000 0.0416
Be 0.5000 0.5000 0.2500
Hg 0.5000 0.5000 0.7500



DFT (PBE) results for TaBeHg2 after structural relaxation.

Total magnetization: 0.00 Bohr magnetons per cell
E_tot: -3.52 eV per atom
Space group: Cm (8)

Cell: 5.2845 5.2845 5.1640 Å, 71.21 71.21 31.84°
Atoms (fractional coordinates):
Hg 0.7485 0.7485 0.7457
Hg 0.9666 0.9666 0.9977
Be 0.2561 0.2561 0.3134
Ta 0.5288 0.5288 0.4432